DFT (PBE+U) results for a geometry-optimized NaZnMoF6 structure.

Unit cell a=5.5486 b=5.5486 c=9.6568 alpha=90.00 beta=90.00 gamma=120.00
Space group P-31c (No. 163)
One atom of each set of equivalent atoms:
Na 0.0000 0.0000 0.0000 x2
Zn 0.3333 0.6667 0.2500 x2
Mo 0.3333 0.6667 0.7500 x2
F 0.0041 0.3558 0.1384 x12

VASP energy: -4.871 eV/atom
theoretical density: 3.85 Mg/m³
total magnetic moment: 6.0 μB/cell